An optimized crystal structure of Ho6In2Au, computed with GGA-PBE.

Unit cell a=5.0696 b=7.2426 c=8.7897 alpha=114.33 beta=106.79 gamma=90.00
With the nearest neighbours (Å) after each atom.
Fractional positions:
Ho  0.1606  0.4027  0.3215  1 Au 3.01, 3 In 3.15
Ho  0.8394  0.0812  0.6785  1 Au 3.01, 3 In 3.15
Ho  0.8394  0.5973  0.6785  1 Au 3.01, 3 In 3.15
Ho  0.5000  0.2357  0.0000  2 Au 3.06, 2 In 3.18, 1 Ho 3.41
Ho  0.1606  0.9188  0.3215  1 Au 3.01, 3 In 3.15
Ho  0.5000  0.7643  0.0000  2 Au 3.06, 2 In 3.18, 1 Ho 3.41
In  0.6665  0.6668  0.3335  8 Ho 3.15-3.18
In  0.3335  0.3332  0.6665  8 Ho 3.15-3.18
Au  0.0000  0.0000  0.0000  8 Ho 3.01-3.06

Crystal system   orthorhombic
Symmetry   No. 71
Formation energy from the elements   -0.211 eV/atom
Total DFT energy (no corrections)   -4.236 eV per atom